A relaxed structure of ScMoClO4, computed with PBE+U.

Unit cell a=5.9645 b=5.9645 c=9.3752 alpha=113.71 beta=113.71 gamma=72.74
Positions (direct):
Sc1 0.1827 0.1827 0.2156
Sc2 0.8173 0.8173 0.7844
Mo1 0.3732 0.3732 0.6813
Mo2 0.6268 0.6268 0.3187
Cl1 0.1225 0.1225 0.9204
Cl2 0.8775 0.8775 0.0796
O1 0.1307 0.5434 0.7687
O2 0.2374 0.2374 0.4632
O3 0.4243 0.4243 0.2819
O4 0.4566 0.8693 0.2313
O5 0.5434 0.1307 0.7687
O6 0.5757 0.5757 0.7181
O7 0.7627 0.7627 0.5368
O8 0.8693 0.4566 0.2313

## Properties
Calculated total energy, eV/atom: -7.21
Space-group type: C2/m, No. 12
N(E_F), states/eV per cell: 0.00
Total magnetic moment, μB/f.u.: 0.00